No. 1
TbSn6Pd12 | PBE | optimized geometry

```
TbSn6Pd12
1.0
6.042 3.488 2.921
-6.042 3.488 2.921
0.000 -6.977 2.921
Tb Sn Pd
1 6 12
Cartesian
0.000 0.000 0.000
0.000 -2.916 3.668
-2.525 1.458 3.668
-2.525 -1.458 5.096
2.525 1.458 3.668
2.525 -1.458 5.096
0.000 2.916 5.096
-2.313 -4.006 4.382
-4.626 0.000 4.382
-1.473 -0.850 2.491
1.473 -0.850 2.491
0.000 1.701 2.491
2.313 -4.006 4.382
-2.313 4.006 4.382
0.000 -1.701 6.273
-1.473 0.850 6.273
1.473 0.850 6.273
4.626 0.000 4.382
2.313 4.006 4.382
```

Computed properties:
Formation energy (eV per formula unit): -8.5
Space-group type: R-3m (166)

---

No. 2
BaFe2Si | PBE | optimized geometry

```
BaFe2Si
1.0
-2.443 2.443 3.446
2.443 -2.443 3.446
2.443 2.443 -3.446
Ba Fe Si
1 2 1
Cartesian
0.000 0.000 0.000
0.000 0.000 3.446
0.000 2.443 1.723
2.443 0.000 1.723
```

Computed properties:
Energy relative to the elements, uncorrected (meV per atom): 842.2
Space-group type: I-4m2 (119)

---

No. 3
Ac4Nd5Ho2 | PBE | optimized geometry

```
Ac4Nd5Ho2
1.0
11.692 -1.872 0.000
11.692 1.872 0.000
-2.963 0.000 9.840
Ac Nd Ho
4 5 2
Cartesian
0.528 0.000 1.893
8.864 0.000 1.027
11.559 0.000 8.813
19.894 0.000 7.946
1.471 0.000 5.679
3.949 0.000 3.442
10.211 0.000 4.920
16.473 0.000 6.397
18.951 0.000 4.161
2.996 0.000 8.532
17.426 0.000 1.308
```

Computed properties:
Formation energy (eV per formula unit): 2.0
Space-group type: C2/m (12)

---

How do the records compare in uncorrected energy? In the order shown, they have -99.46, -20.90, -47.48 eV for the cell shown.
How do the records compare in DOS(E_F)? In the order shown, they have 9.6, 4.8, 15.5 states/eV/cell.